Entry 1:
LaIr4Pt | GGA-PBE | relaxed

As for the formation energy: -87 meV/atom. The calculation puts the raw total energy at -187.7 eV for the cell shown.

The structure belongs to space group F-43m (No. 216); the cell edges are 7.543, 7.543 and 7.543 Å and the angles 90.00°, 90.00° and 90.00°. The distinct sites, in fractional coordinates, are La at (0.000, 0.000, 0.000), Ir at (0.124, 0.124, 0.376) and Pt at (0.250, 0.250, 0.750).


Entry 2:
LaIrPt2 | GGA-PBE | relaxed

The relative energy among the computed polymorphs is 428 meV per atom. As for the formation energy: -256 meV/atom. The calculation puts the raw total energy at -107.6 eV for the cell shown.

The structure belongs to space group F-43m (No. 216); the cell edges are 6.737, 6.737 and 6.737 Å and the angles 90.00°, 90.00° and 90.00°. The distinct sites, in fractional coordinates, are La at (0.000, 0.000, 0.000), Ir at (0.250, 0.250, 0.750), Pt at (0.000, 0.000, 0.500) and Pt at (0.250, 0.250, 0.250).


Entry 3:
LaIrPt2 | GGA-PBE | relaxed

The relative energy among the computed polymorphs is 248 meV per atom. As for the formation energy: -436 meV/atom. The calculation puts the raw total energy at -27.6 eV for the cell shown.

The structure belongs to space group P2/m (No. 10); the cell edges are 4.080, 4.467 and 5.060 Å and the angles 90.00°, 94.48° and 90.00°. The distinct sites, in fractional coordinates, are La at (0.000, 0.000, 0.000), Ir at (0.500, 0.000, 0.500) and Pt at (0.460, 0.500, 0.750).


Entry 4:
LaIrPt2 | GGA-PBE | relaxed

The relative energy among the computed polymorphs is 589 meV per atom. As for the formation energy: -95 meV/atom. The calculation puts the raw total energy at -26.3 eV for the cell shown.

The structure belongs to space group P4/mmm (No. 123); the cell edges are 2.957, 2.957 and 8.424 Å and the angles 90.00°, 90.00° and 90.00°. The distinct sites, in fractional coordinates, are La at (0.000, 0.000, 0.000), Ir at (0.000, 0.000, 0.500) and Pt at (0.500, 0.500, 0.283).


Entry 5:
LaIr2Pt | GGA-PBE | relaxed

The relative energy among the computed polymorphs is 304 meV per atom. As for the formation energy: -31 meV/atom. The calculation puts the raw total energy at -28.8 eV for the cell shown.

The structure belongs to space group P4mm (No. 99); the cell edges are 2.888, 2.888 and 8.620 Å and the angles 90.00°, 90.00° and 90.00°. The distinct sites, in fractional coordinates, are La at (0.000, 0.000, 0.000), Ir at (0.000, 0.000, 0.508), Ir at (0.500, 0.500, 0.709) and Pt at (0.500, 0.500, 0.282).


Entry 6:
La6Ir2PtRh | GGA-PBE | relaxed

As for the formation energy: -746 meV/atom. The calculation puts the raw total energy at -204.4 eV for the cell shown.

The structure belongs to space group R3 (No. 146, hexagonal axes); the cell edges are 7.2610, 7.2610 and 20.0713 Å and the angles 90.00°, 90.00° and 120.00°. The distinct sites, in fractional coordinates, are La at (0.9998, 0.6583, 0.0000), La at (0.0045, 0.3371, 0.5017), Ir at (0.0000, 0.0000, 0.2500), Ir at (0.0000, 0.0000, 0.7506), Pt at (0.0000, 0.0000, 0.0836) and Rh at (0.0000, 0.0000, 0.5844).


Entry 7:
La6IrPtRh2 | GGA-PBE | relaxed

As for the formation energy: -739 meV/atom. The calculation puts the raw total energy at -199.7 eV for the cell shown.

The structure belongs to space group R3 (No. 146, hexagonal axes); the cell edges are 7.2379, 7.2379 and 20.0488 Å and the angles 90.00°, 90.00° and 120.00°. The distinct sites, in fractional coordinates, are La at (0.0052, 0.6703, 0.0000), La at (0.0076, 0.3339, 0.8310), Ir at (0.0000, 0.0000, 0.0806), Pt at (0.0000, 0.0000, 0.5804), Rh at (0.0000, 0.0000, 0.4193) and Rh at (0.0000, 0.0000, 0.9179).


Entry 8:
La8IrRuPt2 | GGA-PBE | relaxed

As for the formation energy: -616 meV/atom. The calculation puts the raw total energy at -77.0 eV for the cell shown.

The structure belongs to space group P2/m (No. 10); the cell edges are 6.824, 8.608 and 6.874 Å and the angles 90.00°, 91.23° and 90.00°. The distinct sites, in fractional coordinates, are La at (0.157, 0.000, 0.246), La at (0.159, 0.500, 0.248), La at (0.343, 0.254, 0.724), Ir at (0.500, 0.000, 0.500), Ru at (0.500, 0.500, 0.500) and Pt at (0.000, 0.250, 0.000).